No. 1
ZrPdN2, single point on PBEsol structure, DFT meta-GGA SCAN; energy relative to the elements, uncorrected = -475 meV/atom
1.0
-2.338 2.338 5.061
2.338 -2.338 5.061
2.338 2.338 -5.061
Zr Pd N
2 2 4
direct
0.000 0.000 0.000
0.750 0.250 0.500
0.250 0.750 0.500
0.500 0.500 0.000
0.121 0.625 0.996
0.375 0.371 0.496
0.629 0.125 0.004
0.875 0.879 0.504


No. 2
Pr4Se3N2, single point on PBEsol structure, DFT meta-GGA SCAN; energy relative to the elements, uncorrected = -1995 meV/atom
1.0
6.560 -5.091 0.000
6.560 5.091 0.000
-0.071 0.000 6.422
Pr Se N
8 6 4
direct
0.057 0.692 0.531
0.255 0.416 0.069
0.308 0.943 0.969
0.416 0.255 0.569
0.584 0.745 0.431
0.692 0.057 0.031
0.745 0.584 0.931
0.943 0.308 0.469
0.016 0.755 0.033
0.245 0.984 0.467
0.403 0.597 0.750
0.597 0.403 0.250
0.755 0.016 0.533
0.984 0.245 0.967
0.170 0.419 0.415
0.419 0.170 0.915
0.581 0.830 0.085
0.830 0.581 0.585


No. 3
Pr3Si6N11, single point on PBEsol structure, DFT meta-GGA SCAN; energy relative to the elements, uncorrected = -1552 meV/atom
1.0
10.107 0.000 0.000
0.000 10.107 0.000
0.000 0.000 4.853
Pr Si N
6 12 22
direct
0.000 0.000 0.000
0.182 0.318 0.017
0.318 0.818 0.017
0.500 0.500 0.000
0.682 0.182 0.017
0.818 0.682 0.017
0.079 0.791 0.543
0.117 0.617 0.053
0.209 0.079 0.543
0.291 0.579 0.543
0.383 0.117 0.053
0.421 0.291 0.543
0.579 0.709 0.543
0.617 0.883 0.053
0.709 0.421 0.543
0.791 0.921 0.543
0.883 0.383 0.053
0.921 0.209 0.543
0.000 0.500 0.083
0.076 0.771 0.188
0.080 0.180 0.655
0.154 0.654 0.706
0.180 0.920 0.655
0.229 0.076 0.188
0.271 0.576 0.188
0.320 0.420 0.655
0.346 0.154 0.706
0.420 0.680 0.655
0.424 0.271 0.188
0.500 0.000 0.083
0.576 0.729 0.188
0.580 0.320 0.655
0.654 0.846 0.706
0.680 0.580 0.655
0.729 0.424 0.188
0.771 0.924 0.188
0.820 0.080 0.655
0.846 0.346 0.706
0.920 0.820 0.655
0.924 0.229 0.188


No. 4
Pr3SnN, single point on PBEsol structure, DFT meta-GGA SCAN; energy relative to the elements, uncorrected = -1090 meV/atom
1.0
4.993 0.000 0.000
0.000 4.993 0.000
0.000 0.000 4.993
Pr Sn N
3 1 1
direct
0.000 0.000 0.500
0.000 0.500 0.000
0.500 0.000 0.000
0.500 0.500 0.500
0.000 0.000 0.000


No. 5
Pr3Ta2N6, single point on PBEsol structure, DFT meta-GGA SCAN; energy relative to the elements, uncorrected = -1588 meV/atom
1.0
-2.016 2.016 9.881
2.016 -2.016 9.881
2.016 2.016 -9.881
Pr Ta N
3 2 6
direct
0.000 0.000 0.000
0.180 0.180 0.000
0.820 0.820 0.000
0.399 0.399 0.000
0.601 0.601 0.000
0.085 0.585 0.500
0.301 0.301 0.000
0.415 0.915 0.500
0.585 0.085 0.500
0.699 0.699 0.000
0.915 0.415 0.500


No. 6
Pr4Te3N2, single point on PBEsol structure, DFT meta-GGA SCAN; energy relative to the elements, uncorrected = -1727 meV/atom
1.0
7.358 0.000 0.000
0.000 11.668 0.000
0.000 0.000 11.340
Pr Te N
16 12 8
direct
0.092 0.250 0.162
0.148 0.051 0.890
0.148 0.449 0.890
0.227 0.250 0.530
0.273 0.750 0.030
0.352 0.551 0.390
0.352 0.949 0.390
0.408 0.750 0.662
0.592 0.250 0.338
0.648 0.051 0.610
0.648 0.449 0.610
0.727 0.250 0.970
0.773 0.750 0.470
0.852 0.551 0.110
0.852 0.949 0.110
0.908 0.750 0.838
0.066 0.578 0.634
0.066 0.922 0.634
0.078 0.750 0.271
0.422 0.250 0.771
0.434 0.078 0.134
0.434 0.422 0.134
0.566 0.578 0.866
0.566 0.922 0.866
0.578 0.750 0.229
0.922 0.250 0.729
0.934 0.078 0.366
0.934 0.422 0.366
0.053 0.622 0.966
0.053 0.878 0.966
0.447 0.122 0.466
0.447 0.378 0.466
0.553 0.622 0.534
0.553 0.878 0.534
0.947 0.122 0.034
0.947 0.378 0.034


No. 7
PrUN2, single point on PBEsol structure, DFT meta-GGA SCAN; energy relative to the elements, uncorrected = -1480 meV/atom
1.0
1.748 1.009 5.734
-1.748 1.009 5.734
0.000 -2.019 5.734
Pr U N
1 1 2
direct
0.000 0.000 0.000
0.500 0.500 0.500
0.234 0.234 0.234
0.766 0.766 0.766


No. 8
PtN2, single point on PBEsol structure, DFT meta-GGA SCAN; energy relative to the elements, uncorrected = 954 meV/atom
1.0
3.134 0.000 0.000
-1.567 2.714 0.000
0.000 0.000 3.840
Pt N
1 2
direct
0.000 0.000 0.000
0.667 0.333 0.343
0.667 0.333 0.657


No. 9
Rb2PtN, single point on PBEsol structure, DFT meta-GGA SCAN; energy relative to the elements, uncorrected = -239 meV/atom
1.0
-6.085 6.085 1.861
6.085 -6.085 1.861
6.085 6.085 -1.861
Rb Pt N
4 2 2
direct
0.375 0.141 0.266
0.859 0.125 0.234
0.875 0.109 0.734
0.891 0.625 0.766
0.250 0.750 0.500
0.500 0.500 0.000
0.000 0.000 0.000
0.750 0.250 0.500


No. 10
RbPtSeN2, single point on PBEsol structure, DFT meta-GGA SCAN; energy relative to the elements, uncorrected = 2872 meV/atom
1.0
4.138 0.000 0.000
0.000 4.138 0.000
0.000 0.000 6.252
Rb Pt Se N
1 1 1 2
direct
0.000 0.000 0.000
0.500 0.500 0.500
0.000 0.000 0.500
0.000 0.500 0.000
0.500 0.000 0.000


No. 11
RbTePtN2, single point on PBEsol structure, DFT meta-GGA SCAN; energy relative to the elements, uncorrected = 2507 meV/atom
1.0
4.667 0.000 0.000
0.000 4.667 0.000
0.000 0.000 6.938
Rb Te Pt N
1 1 1 2
direct
0.000 0.000 0.000
0.000 0.000 0.500
0.500 0.500 0.500
0.000 0.500 0.000
0.500 0.000 0.000


No. 12
ReSnPt2N, single point on PBEsol structure, DFT meta-GGA SCAN; energy relative to the elements, uncorrected = 2749 meV/atom
1.0
4.916 0.000 0.000
0.000 4.916 0.000
0.000 0.000 5.059
Re Sn Pt N
1 1 2 1
direct
0.000 0.000 0.000
0.000 0.000 0.500
0.000 0.500 0.500
0.500 0.000 0.500
0.500 0.500 0.000